Entry 1:
Here is a relaxed structure of CsHfS3 from the Alexandria database. Energies are from PBE.

Unit cell a=9.838 b=9.838 c=6.652 alpha=93.19 beta=93.19 gamma=73.28
Fractional positions:
Cs1 0.136 0.864 0.750
Cs2 0.332 0.668 0.250
Cs3 0.668 0.332 0.750
Cs4 0.864 0.136 0.250
Hf1 0.192 0.306 0.615
Hf2 0.306 0.192 0.115
Hf3 0.694 0.808 0.885
Hf4 0.808 0.694 0.385
S1 0.019 0.563 0.628
S2 0.084 0.210 0.895
S3 0.210 0.084 0.395
S4 0.337 0.378 0.903
S5 0.378 0.337 0.403
S6 0.437 0.981 0.872
S7 0.563 0.019 0.128
S8 0.622 0.663 0.597
S9 0.663 0.622 0.097
S10 0.790 0.916 0.605
S11 0.916 0.790 0.105
S12 0.981 0.437 0.372

Properties
- energy relative to the elements, uncorrected (eV per atom) = -1.293
- space-group type = C2/c, No. 15
- polymorph energy (0 for the lowest one) (kJ/mol of formula units) = 50
- density of states at the Fermi level (states/eV/f.u.) = 0.00


Entry 2:
Here is a relaxed structure of EuTl2Hg from the Alexandria database. Energies are from PBE.

Unit cell a=11.750 b=11.750 c=11.750 alpha=17.71 beta=17.71 gamma=17.71
Fractional positions:
Eu1 0.000 0.000 0.000
Tl1 0.095 0.095 0.095
Tl2 0.905 0.905 0.905
Hg1 0.500 0.500 0.500

Properties
- space-group type = R-3m, No. 166
- density of states at the Fermi level (states/eV/f.u.) = 3.08
- energy of formation (kJ/mol of formula units) = 24.7


Entry 3:
Here is a relaxed structure of Ba2USbSe6 from the Alexandria database. Energies are from PBE.

Unit cell a=7.436 b=7.865 c=13.073 alpha=90.00 beta=124.38 gamma=90.00
Fractional positions:
Ba1 0.223 0.079 0.249
Ba2 0.223 0.421 0.749
Ba3 0.777 0.579 0.251
Ba4 0.777 0.921 0.751
U1 0.500 0.000 0.000
U2 0.500 0.500 0.500
Sb1 0.000 0.000 0.500
Sb2 0.000 0.500 0.000
Se1 0.153 0.192 0.955
Se2 0.153 0.308 0.455
Se3 0.265 0.702 0.952
Se4 0.265 0.798 0.452
Se5 0.347 0.016 0.754
Se6 0.347 0.484 0.254
Se7 0.653 0.516 0.746
Se8 0.653 0.984 0.246
Se9 0.735 0.202 0.548
Se10 0.735 0.298 0.048
Se11 0.847 0.692 0.545
Se12 0.847 0.808 0.045

Properties
- energy relative to the elements, uncorrected (eV per atom) = -1.288
- space-group type = P2_1/c, No. 14
- density of states at the Fermi level (states/eV/f.u.) = 2.71


Number 1: total moment 0.00 μB per cell. Number 2: total moment 7.89 μB per cell. Number 3: total moment 2.00 μB per cell.